# 1
An optimized crystal structure of LiCaSn. Source: Alexandria via LeMat-Bulk, functional PBE-GGA.

Calculated values
Crystal system: tetragonal
ΔH_f (0 K): -377 meV/atom
Raw total energy: -3.02 eV per atom

a b c (Å): 3.7976 3.7976 10.8143
angles (deg): 90.00 90.00 90.00
With the nearest neighbours (Å) after each atom.
Space group I4mm (No. 107)
Unique sites:
Li 0.0000 0.0000 0.0000  4 Sn 2.94, 1 Ca 3.22
Ca 0.0000 0.0000 0.7024  5 Li 3.22-3.46, 5 Sn 3.36-3.39
Sn 0.0000 0.0000 0.3887  4 Li 2.94

# 2
An optimized crystal structure of CsPbO2. Source: Alexandria via LeMat-Bulk, functional PBE-GGA.

Calculated values
Uncorrected formation energy: -1056.0 meV per atom
Crystal system: monoclinic
Raw total energy: -4.68 eV per atom

a b c (Å): 8.6598 9.5491 6.3339
angles (deg): 90.00 124.85 90.00
With the nearest neighbours (Å) after each atom.
Space group C2/c (No. 15)
Unique sites:
Cs 0.0000 0.1385 0.2500  6 O 3.07-3.31
Pb 0.0000 0.4345 0.7500  4 O 2.18-2.30
O 0.1770 0.4310 0.1923  2 Pb 2.18-2.30

# 3
An optimized crystal structure of KAgRu2. Source: Alexandria via LeMat-Bulk, functional PBE-GGA.

Calculated values
Crystal system: tetragonal
ΔH_f (0 K): 1298 meV/atom
Raw total energy: -4.33 eV per atom

a b c (Å): 3.8380 3.8380 10.2002
angles (deg): 90.00 90.00 90.00
With the nearest neighbours (Å) after each atom.
Space group I4/mmm (No. 139)
Unique sites:
K 0.0000 0.0000 0.0000  4 Ag 2.71
Ag 0.0000 0.0000 0.5000  4 K 2.71
Ru 0.0000 0.5000 0.2500  4 Ru 2.71

# 4
An optimized crystal structure of Cs2SiPbS4. Source: Alexandria via LeMat-Bulk, functional PBE-GGA.

Calculated values
Uncorrected formation energy: -880.0 meV per atom
Crystal system: orthorhombic
Raw total energy: -4.30 eV per atom

a b c (Å): 6.7190 14.0511 25.7117
angles (deg): 90.00 90.00 90.00
With the nearest neighbours (Å) after each atom.
Space group Fddd (No. 70, origin choice 2)
Unique sites:
Cs 0.1250 0.1250 0.3061  4 S 3.67-3.78
Si 0.1250 0.1250 0.6250  4 S 2.15
Pb 0.1250 0.1250 0.1250  4 S 2.81
S 0.0528 0.2833 0.8265  1 Si 2.15

# 5
An optimized crystal structure of BSe3Br. Source: Alexandria via LeMat-Bulk, functional PBE-GGA.

Calculated values
Uncorrected formation energy: 52.1 meV per atom
Crystal system: triclinic
Raw total energy: -3.71 eV per atom

a b c (Å): 5.8134 5.9290 8.8982
angles (deg): 90.10 107.13 90.02
With the nearest neighbours (Å) after each atom.
Space group P1 (No. 1)
Unique sites:
B 0.0000 0.0000 0.0000  4 Se 2.01-2.15
B 0.3450 0.5001 0.9928  4 Se 2.01-2.15
Se 0.1421 0.6896 0.1148  2 B 2.14-2.15
Se 0.2027 0.1891 0.8781  2 B 2.14-2.15
Se 0.4044 0.6567 0.8073  1 B 2.01
Se 0.5311 0.2710 0.1579  1 B 2.06
Se 0.8140 0.7697 0.8349  1 B 2.06
Se 0.9404 0.1573 0.1855  1 B 2.01
Br 0.4732 0.7648 0.3633  1 Se 2.51
Br 0.8710 0.2629 0.6298  1 Se 2.51

# 6
An optimized crystal structure of Ca3VH. Source: Alexandria via LeMat-Bulk, functional PBE-GGA.

Calculated values
Crystal system: cubic
Raw total energy: -2.70 eV per atom

a b c (Å): 5.8700 5.8700 5.8700
angles (deg): 90.00 90.00 90.00
With the nearest neighbours (Å) after each atom.
Space group Pm-3m (No. 221)
Unique sites:
Ca 0.0000 0.0000 0.5000  2 V 2.93
V 0.0000 0.0000 0.0000  6 Ca 2.93
H 0.5000 0.5000 0.5000  12 Ca 4.15

# 7
An optimized crystal structure of LiMoPd5. Source: Alexandria via LeMat-Bulk, functional PBE-GGA.

Calculated values
Crystal system: monoclinic
ΔH_f (0 K): 20 meV/atom
Raw total energy: -5.51 eV per atom

a b c (Å): 9.1893 5.5980 9.3472
angles (deg): 90.00 107.40 90.00
With the nearest neighbours (Å) after each atom.
Space group C2/c (No. 15)
Unique sites:
Li 0.2500 0.2500 0.0000  8 Pd 2.66-2.85
Mo 0.0000 0.1239 0.2500  5 Pd 2.43-2.57
Pd 0.0000 0.3246 0.7500  1 Mo 2.51, 4 Pd 2.66-2.73, 2 Li 2.78
Pd 0.0989 0.3237 0.4900  1 Mo 2.43, 1 Pd 2.71
Pd 0.2491 0.0703 0.7368  2 Mo 2.57-2.84, 2 Li 2.66-2.85, 6 Pd 2.66-2.87

# 8
An optimized crystal structure of LaPuPt10. Source: Alexandria via LeMat-Bulk, functional PBE-GGA.

Calculated values
Crystal system: orthorhombic
ΔH_f (0 K): -651 meV/atom
Raw total energy: -7.29 eV per atom

a b c (Å): 4.4363 5.4225 9.3742
angles (deg): 90.00 90.00 90.00
With the nearest neighbours (Å) after each atom.
Space group Pmmm (No. 47)
Unique sites:
La 0.0000 0.0000 0.0000  18 Pt 3.15-3.51
Pu 0.0000 0.5000 0.5000  6 Pt 3.09-3.12
Pt 0.0000 0.0000 0.3363  6 Pt 2.70-2.72
Pt 0.0000 0.5000 0.1704  6 Pt 2.71-2.73
Pt 0.5000 0.0000 0.5000  8 Pt 2.70
Pt 0.5000 0.2512 0.2518  8 Pt 2.70-2.72
Pt 0.5000 0.5000 0.0000  8 Pt 2.72-2.73

# 9
An optimized crystal structure of La2SnIr. Source: Alexandria via LeMat-Bulk, functional PBE-GGA.

Calculated values
Crystal system: tetragonal
ΔH_f (0 K): -476 meV/atom
Raw total energy: -6.16 eV per atom

a b c (Å): 8.3498 8.3498 6.6029
angles (deg): 90.00 90.00 90.00
With the nearest neighbours (Å) after each atom.
Space group I-42d (No. 122)
Unique sites:
La 0.1932 0.2500 0.1250  2 Ir 2.76
Sn 0.0000 0.0000 0.5000  2 Ir 3.30, 8 La 3.41-3.62
Ir 0.0000 0.0000 0.0000  4 La 2.76

# 10
An optimized crystal structure of Pm7Tl2Bi2. Source: Alexandria via LeMat-Bulk, functional PBE-GGA.

Calculated values
Crystal system: orthorhombic
ΔH_f (0 K): -163 meV/atom
Raw total energy: -4.32 eV per atom

a b c (Å): 9.5555 11.4412 7.1844
angles (deg): 90.00 90.00 90.00
With the nearest neighbours (Å) after each atom.
Space group Cmmm (No. 65)
Unique sites:
Pm 0.0000 0.0000 0.0000  2 Tl 3.14
Pm 0.0000 0.5000 0.2588  2 Tl 3.18, 2 Bi 3.42, 1 Pm 3.47
Pm 0.2500 0.2500 0.2739  2 Tl 3.11, 1 Pm 3.25, 2 Bi 3.34
Tl 0.0000 0.2746 0.0000  7 Pm 3.11-3.18
Bi 0.1911 0.0000 0.5000  6 Pm 3.34-3.42, 1 Bi 3.65

# 11
An optimized crystal structure of AcRh2S. Source: Alexandria via LeMat-Bulk, functional PBE-GGA.

Calculated values
Uncorrected formation energy: -597.2 meV per atom
Crystal system: trigonal
Raw total energy: -6.33 eV per atom

a b c (Å): 4.2223 4.2223 15.5348
angles (deg): 90.00 90.00 120.00
With the nearest neighbours (Å) after each atom.
Space group R-3m (No. 166, hexagonal axes)
Unique sites:
Ac 0.0000 0.0000 0.0000  8 Rh 3.13-3.21
Rh 0.0000 0.0000 0.2066  3 S 2.52, 3 Rh 2.74
S 0.0000 0.0000 0.5000  6 Rh 2.52

# 12
An optimized crystal structure of ZrTcTe. Source: Alexandria via LeMat-Bulk, functional PBE-GGA.

Calculated values
Uncorrected formation energy: -95.4 meV per atom
Crystal system: tetragonal
Raw total energy: -7.45 eV per atom

a b c (Å): 3.2979 3.2979 10.8820
angles (deg): 90.00 90.00 90.00
With the nearest neighbours (Å) after each atom.
Space group I4mm (No. 107)
Unique sites:
Zr 0.0000 0.0000 0.0000  4 Tc 2.91, 4 Te 3.18
Tc 0.0000 0.0000 0.3407  4 Te 2.80, 4 Zr 2.91
Te 0.0000 0.0000 0.6986  4 Tc 2.80

# 13
An optimized crystal structure of K2TlInBr4. Source: Alexandria via LeMat-Bulk, functional PBE-GGA.

Calculated values
Uncorrected formation energy: -1249.5 meV per atom
Crystal system: monoclinic
Raw total energy: -3.00 eV per atom

a b c (Å): 8.2175 4.7423 8.2296
angles (deg): 90.00 109.44 90.00
With the nearest neighbours (Å) after each atom.
Space group P2/m (No. 10)
Unique sites:
K 0.0000 0.0000 0.0000  6 Br 3.34
K 0.5000 0.5000 0.0000  6 Br 3.33
Tl 0.0000 0.5000 0.5000  6 Br 3.38
In 0.5000 0.0000 0.5000  6 Br 3.37
Br 0.2502 0.5000 0.2464  3 K 3.33-3.34, 2 In 3.37, 1 Tl 3.38
Br 0.2527 0.0000 0.7549  3 K 3.33-3.34, 1 In 3.37, 2 Tl 3.38